Record 1
The following is a PBE-GGA calculation of a relaxed LaSc5Bi6 crystal, from the Alexandria database.

Lattice parameters (Å, degrees): 7.522 13.044 7.539 90.00 109.70 90.00
Space group C2/m (No. 12)
Unique sites:
La 0.000 0.000 0.000 [2 per cell]
Sc 0.000 0.159 0.500 [4 per cell]
Sc 0.000 0.331 0.000 [4 per cell]
Sc 0.000 0.500 0.500 [2 per cell]
Bi 0.234 0.500 0.254 [4 per cell]
Bi 0.237 0.325 0.738 [8 per cell]

Properties
ΔH_f (0 K): -706 meV per atom
DOS(E_F): 2.6 states/eV/f.u.

---

Record 2
The following is a PBE-GGA calculation of a relaxed La2ScBi crystal, from the Alexandria database.

Lattice parameters (Å, degrees): 4.879 4.879 5.004 90.00 90.00 90.00
Space group P4/mmm (No. 123)
Unique sites:
La 0.000 0.500 0.000 [2 per cell]
Sc 0.000 0.000 0.500 [1 per cell]
Bi 0.500 0.500 0.500 [1 per cell]

Properties
ΔH_f (0 K): -411 meV per atom
offset from the most stable computed form: 0.00 eV/f.u.
DOS(E_F): 5.6 states/eV/f.u.

---

Record 3
The following is a PBE-GGA calculation of a relaxed LaScBi crystal, from the Alexandria database.

Lattice parameters (Å, degrees): 4.559 4.559 8.707 90.00 90.00 90.00
Space group P4/nmm (No. 129, origin choice 2)
Unique sites:
La 0.250 0.250 0.152 [2 per cell]
Sc 0.250 0.750 0.500 [2 per cell]
Bi 0.250 0.250 0.752 [2 per cell]

Properties
ΔH_f (0 K): -682 meV per atom
DOS(E_F): 3.5 states/eV/f.u.

---

> What is the ΔH_f (0 K) in the first record?

-706 meV per atom

---

> The highest DOS(E_F) belongs to which entry?

La2ScBi